[1]
The following is a DFT calculation (meta-GGA SCAN) of a PBEsol-optimized structure of Y2TlOs.

Computed properties:
Magnetization in μB/f.u.: 0.39
Mass density in g/cm3: 10.017
Energy above the most stable polymorph in this dataset in eV per formula unit: 2.23
DOS at the Fermi energy in states/eV/cell: 4.0
Final energy in eV per atom: -49.9175

Lattice parameters (Å, degrees): 3.396 3.396 8.228 90.00 90.00 90.00
Atoms (fractional coordinates):
1 Y 0.000 0.000 0.000
2 Y 0.500 0.500 0.364
3 Tl 0.500 0.500 0.750
4 Os 0.000 0.000 0.558

***

[2]
The following is a DFT calculation (meta-GGA SCAN) of a PBEsol-optimized structure of KSrAs2.

Computed properties:
Magnetization in μB/f.u.: 1.32
Mass density in g/cm3: 3.716
Energy above the most stable polymorph in this dataset in eV per formula unit: 2.52
DOS at the Fermi energy in states/eV/cell: 4.2
Final energy in eV per atom: -17.9399

Lattice parameters (Å, degrees): 4.370 4.370 6.471 90.00 90.00 90.00
Atoms (fractional coordinates):
1 K 0.000 0.000 0.000
2 Sr 0.500 0.500 0.399
3 As 0.000 0.000 0.517
4 As 0.500 0.500 0.850

***

[3]
The following is a DFT calculation (meta-GGA SCAN) of a PBEsol-optimized structure of CoTc2NO.

Computed properties:
Energy relative to the elements, uncorrected in meV per atom: 1094
Magnetization in μB/f.u.: 0.01
Mass density in g/cm3: 8.537
DOS at the Fermi energy in states/eV/cell: 6.3
Final energy in eV per atom: -19.4949

Lattice parameters (Å, degrees): 3.995 3.995 3.473 90.00 90.00 90.00
Atoms (fractional coordinates):
1 Co 0.000 0.000 0.000
2 Tc 0.000 0.500 0.500
3 Tc 0.500 0.000 0.500
4 N 0.500 0.500 0.000
5 O 0.000 0.000 0.500